Computed, not measured: a relaxed structure of Y2ScAlO6 at the PBE level of DFT.

Unit cell a=5.3416 b=5.5976 c=9.3517 alpha=90.00 beta=124.50 gamma=90.00
Fractional coordinates of all 20 atoms:
Y1 0.2330 0.0618 0.2501
Y2 0.2330 0.4382 0.7501
Y3 0.7670 0.5618 0.2499
Y4 0.7670 0.9382 0.7499
Sc1 0.5000 0.0000 0.0000
Sc2 0.5000 0.5000 0.5000
Al1 0.0000 0.0000 0.5000
Al2 0.0000 0.5000 0.0000
O1 0.1265 0.2084 0.9410
O2 0.1265 0.2916 0.4410
O3 0.2364 0.6887 0.9450
O4 0.2364 0.8113 0.4450
O5 0.3476 0.0399 0.7385
O6 0.3476 0.4601 0.2385
O7 0.6524 0.5399 0.7615
O8 0.6524 0.9601 0.2615
O9 0.7636 0.1887 0.5550
O10 0.7636 0.3113 0.0550
O11 0.8735 0.7084 0.5590
O12 0.8735 0.7916 0.0590

SG: P2_1/c (14)
Uncorrected formation energy in eV per formula unit: -34.02